VASP calculation (GGA-PBEsol) on a relaxed Er2Sb2O7 crystal.

* DOS(E_F): 0.00 states/eV per cell
* E_tot: -495.08 eV/cell

Cell: 7.4110 7.4110 18.2167 Å, 90.00 90.00 120.00°
Positions (direct):
Er  0.0000  0.8309  0.1667
Er  0.0000  0.8354  0.6667
Er  0.1646  0.1646  0.0000
Er  0.1691  0.1691  0.5000
Er  0.1801  0.6830  0.5118
Er  0.3170  0.4970  0.8452
Er  0.4970  0.3170  0.1548
Er  0.5030  0.8199  0.1785
Er  0.6830  0.1801  0.4882
Er  0.8199  0.5030  0.8215
Er  0.8309  0.0000  0.8333
Er  0.8354  0.0000  0.3333
Sb  0.0000  0.3060  0.1667
Sb  0.0000  0.3265  0.6667
Sb  0.1662  0.6675  0.0010
Sb  0.3060  0.0000  0.8333
Sb  0.3265  0.0000  0.3333
Sb  0.3325  0.4988  0.3344
Sb  0.4988  0.3325  0.6656
Sb  0.5012  0.8338  0.6677
Sb  0.6675  0.1662  0.9990
Sb  0.6735  0.6735  0.0000
Sb  0.6940  0.6940  0.5000
Sb  0.8338  0.5012  0.3323
O  0.0071  0.3345  0.7900
O  0.0085  0.8112  0.0298
O  0.0171  0.8522  0.7845
O  0.0512  0.4353  0.3050
O  0.1056  0.6556  0.8933
O  0.1478  0.1648  0.1178
O  0.1648  0.1478  0.8822
O  0.1888  0.1973  0.3632
O  0.1973  0.1888  0.6368
O  0.1996  0.6834  0.6386
O  0.2339  0.6932  0.1068
O  0.3068  0.5408  0.4401
O  0.3166  0.5162  0.9719
O  0.3274  0.9929  0.4567
O  0.3345  0.0071  0.2100
O  0.3444  0.4499  0.2266
O  0.3841  0.9488  0.9716
O  0.4353  0.0512  0.6950
O  0.4499  0.3444  0.7734
O  0.4592  0.7661  0.7734
O  0.4838  0.8004  0.3053
O  0.5162  0.3166  0.0281
O  0.5408  0.3068  0.5599
O  0.5501  0.8944  0.5599
O  0.5647  0.6159  0.6383
O  0.6159  0.5647  0.3617
O  0.6556  0.1056  0.1067
O  0.6655  0.6726  0.1234
O  0.6726  0.6655  0.8766
O  0.6834  0.1996  0.3614
O  0.6932  0.2339  0.8932
O  0.7661  0.4592  0.2266
O  0.8004  0.4838  0.6947
O  0.8027  0.9915  0.6965
O  0.8112  0.0085  0.9702
O  0.8352  0.9829  0.4511
O  0.8522  0.0171  0.2155
O  0.8944  0.5501  0.4401
O  0.9488  0.3841  0.0284
O  0.9829  0.8352  0.5489
O  0.9915  0.8027  0.3035
O  0.9929  0.3274  0.5433